A plane-wave DFT calculation with PBE was carried out for crystalline NaPr5S6 at its relaxed geometry.

The calculation puts the raw total energy at -73.4 eV per formula unit. As for the crystal system: monoclinic.

a = 7.0878 Å, b = 12.2791 Å, c = 7.0979 Å
α = 90.00°, β = 109.49°, γ = 90.00°
Space group C2/m (No. 12)
Symmetry-distinct sites (fractional):
Na  0.0000  0.0000  0.0000 (multiplicity 2)
Pr  0.0000  0.1642  0.5000 (multiplicity 4)
Pr  0.0000  0.3343  0.0000 (multiplicity 4)
Pr  0.0000  0.5000  0.5000 (multiplicity 2)
S  0.2473  0.0000  0.7550 (multiplicity 4)
S  0.2484  0.1656  0.2496 (multiplicity 8)